A geometry-optimized Pm2YGa structure, computed with PBE.

Relative energy among the computed polymorphs ... 427 meV/atom
Crystal system ... trigonal
Total DFT energy (no corrections) ... -4.591 eV per atom

Geometry as extended XYZ:
```
4
Lattice="1.7716 1.0228 11.9077 -1.7716 1.0228 11.9077 0.0000 -2.0457 11.9077" Properties=species:S:1:pos:R:3 pbc="T T T"
Pm 0.0000 0.0000 3.0605
Pm 0.0000 0.0000 32.6625
Y 0.0000 0.0000 17.8615
Ga 0.0000 0.0000 0.0000
```



A geometry-optimized SrBiSe2O8 structure, computed with PBE.

Formation energy from raw total energies ... -1.097 eV per atom
Crystal system ... trigonal
Total DFT energy (no corrections) ... -5.447 eV per atom

Geometry as extended XYZ:
```
12
Lattice="2.6796 1.5471 7.4366 -2.6796 1.5471 7.4366 0.0000 -3.0942 7.4366" Properties=species:S:1:pos:R:3 pbc="T T T"
Sr 0.0000 0.0000 0.0000
Bi 0.0000 0.0000 11.1549
Se 0.0000 0.0000 5.6472
Se 0.0000 0.0000 16.6626
O -1.9467 -0.0380 9.7184
O -0.9405 -1.7049 12.5913
O 0.0000 0.0000 7.3292
O 1.0063 -1.6669 9.7184
O -1.0063 1.6669 12.5913
O 0.0000 0.0000 14.9805
O 0.9405 1.7049 9.7184
O 1.9467 0.0380 12.5913
```



A geometry-optimized Ta2FeSb structure, computed with PBE.

Formation energy from raw total energies ... 0.056 eV per atom
Crystal system ... tetragonal
Total DFT energy (no corrections) ... -9.016 eV per atom

Geometry as extended XYZ:
```
4
Lattice="-1.9930 1.9930 4.3041 1.9930 -1.9930 4.3041 1.9930 1.9930 -4.3041" Properties=species:S:1:pos:R:3 pbc="T T T"
Ta 1.9930 0.0000 2.1521
Ta 0.0000 1.9930 2.1521
Fe 0.0000 0.0000 0.0000
Sb 0.0000 0.0000 4.3041
```